The following is a PBE with a Hubbard U calculation of crystalline LiGdW2O8 at its relaxed geometry, from Alexandria.

a = 5.265 Å, b = 5.265 Å, c = 11.226 Å
α = 90.00°, β = 90.00°, γ = 90.00°
Space group I-4 (No. 82)
One atom of each set of equivalent atoms:
Li (0.000, 0.000, 0.000) x2
Gd (0.000, 0.500, 0.250) x2
W (0.000, 0.000, 0.500) x2
W (0.000, 0.500, 0.750) x2
O (0.159, 0.758, 0.410) x8
O (0.164, 0.255, 0.837) x8

Calculated values
N(E_F), states/eV/atom: 0.0000
E above lowest polymorph, meV/atom: 69